# ThTiCr2O8, optimized geometry, DFT GGA+U
# **Total magnetization**: 3.994 μB/f.u.
# **Crystal system**: monoclinic
# **Final energy**: -196.2 eV per cell
data_ThTiCr2O8
_space_group_name_H-M_alt 'C 1 2/m 1'
_space_group_IT_number 12
_cell_length_a 6.889
_cell_length_b 6.579
_cell_length_c 6.417
_cell_angle_alpha 90.00
_cell_angle_beta 91.83
_cell_angle_gamma 90.00
loop_
_space_group_symop_operation_xyz
'x,y,z'
'-x,-y,-z'
'-x,y,-z'
'x,-y,z'
'x+1/2,y+1/2,z'
'-x+1/2,-y+1/2,-z'
'-x+1/2,y+1/2,-z'
'x+1/2,-y+1/2,z'
loop_
_atom_site_label
_atom_site_fract_x
_atom_site_fract_y
_atom_site_fract_z
Th1 0.000 0.000 0.000
Ti1 0.000 0.000 0.500
Cr1 0.003 0.500 0.264
O1 0.001 0.204 0.714
O2 0.169 0.500 0.990
O3 0.186 0.500 0.493